NpGaCo2O8 | GGA+U | relaxed

- crystal system = tetragonal
- uncorrected energy (eV/f.u.) = -83.31
- V (Å³/cell) = 145
- total magnetic moment (μB per formula unit) = 7.98

```
data_NpGaCo2O8
_space_group_name_H-M_alt 'P 1'
_space_group_IT_number 1
_space_group_name_Hall 'P 1'
_cell_length_a 5.730
_cell_length_b 5.730
_cell_length_c 5.730
_cell_angle_alpha 110.60
_cell_angle_beta 110.60
_cell_angle_gamma 107.23
loop_
_atom_site_label
_atom_site_fract_x
_atom_site_fract_y
_atom_site_fract_z
O1 0.303 0.097 0.794
O2 0.772 0.068 0.704
O3 0.932 0.636 0.704
O4 0.303 0.508 0.206
O5 0.932 0.228 0.296
O6 0.903 0.697 0.206
O7 0.364 0.068 0.296
O8 0.492 0.697 0.794
Co1 0.750 0.250 0.500
Co2 0.500 0.500 0.000
Ga1 0.000 0.000 0.000
Np1 0.250 0.750 0.500
```